[1]
First-principles (PBE) data for PaI3Cl after structural relaxation, as listed in the Alexandria database.

Output
The calculation puts the energy above the most stable polymorph in this dataset at 0 meV per atom. The density of states at the Fermi level comes out at 10.262 states/eV/cell. For the raw formation energy, the calculation gives -1.14 eV per atom. The value obtained for the total energy is -4.34 eV per atom.

a = 8.817 Å, b = 8.817 Å, c = 8.817 Å
α = 105.82°, β = 102.16°, γ = 121.12°
Fractional coordinates of all 10 atoms:
Pa 0.531 0.032 0.000
Pa 0.032 0.532 0.000
I 0.032 0.256 0.724
I 0.032 0.808 0.276
I 0.532 0.756 0.724
I 0.983 0.281 0.202
I 0.532 0.308 0.276
I 0.079 0.781 0.798
Cl 0.433 0.782 0.151
Cl 0.631 0.282 0.849

***

[2]
First-principles (PBE) data for PaI2Cl after structural relaxation, as listed in the Alexandria database.

Output
The calculation puts the energy above the most stable polymorph in this dataset at 5 meV per atom. The density of states at the Fermi level comes out at 4.181 states/eV/cell. For the raw formation energy, the calculation gives -1.12 eV per atom. The value obtained for the total energy is -4.73 eV per atom.

a = 3.869 Å, b = 7.197 Å, c = 7.197 Å
α = 62.93°, β = 74.40°, γ = 74.40°
Fractional coordinates of all 4 atoms:
Pa 0.750 0.897 0.603
I 0.073 0.897 0.956
I 0.427 0.544 0.603
Cl 0.250 0.162 0.338

***

[3]
First-principles (PBE) data for Rb2PaICl6 after structural relaxation, as listed in the Alexandria database.

Output
For the raw formation energy, the calculation gives -1.72 eV per atom. The value obtained for the total energy is -4.13 eV per atom.

a = 7.922 Å, b = 7.922 Å, c = 15.742 Å
α = 75.43°, β = 75.43°, γ = 60.00°
Fractional coordinates of all 20 atoms:
Rb 0.868 0.868 0.395
Rb 0.132 0.132 0.605
Rb 0.747 0.747 0.759
Rb 0.253 0.253 0.241
Pa 0.000 0.000 0.000
Pa 0.500 0.500 0.500
I 0.571 0.571 0.287
I 0.429 0.429 0.713
Cl 0.890 0.338 0.434
Cl 0.338 0.890 0.434
Cl 0.338 0.338 0.434
Cl 0.110 0.662 0.566
Cl 0.662 0.110 0.566
Cl 0.662 0.662 0.566
Cl 0.731 0.185 0.900
Cl 0.185 0.731 0.900
Cl 0.185 0.185 0.900
Cl 0.269 0.815 0.100
Cl 0.815 0.269 0.100
Cl 0.815 0.815 0.100

***

[4]
First-principles (PBE) data for Rb2PaI5Cl after structural relaxation, as listed in the Alexandria database.

Output
For the raw formation energy, the calculation gives -1.35 eV per atom. The value obtained for the total energy is -3.68 eV per atom.

a = 8.383 Å, b = 8.383 Å, c = 8.383 Å
α = 93.57°, β = 117.96°, γ = 117.96°
Fractional coordinates of all 9 atoms:
Rb 0.500 0.244 0.744
Rb 0.500 0.744 0.244
Pa 0.000 0.993 0.993
I 0.500 0.249 0.249
I 0.500 0.749 0.749
I 0.000 0.749 0.249
I 0.000 0.249 0.749
I 0.000 0.256 0.256
Cl 0.000 0.767 0.767

***

Repeat the first record exactly.
First-principles (PBE) data for PaI3Cl after structural relaxation, as listed in the Alexandria database.

Output
The calculation puts the energy above the most stable polymorph in this dataset at 0 meV per atom. The density of states at the Fermi level comes out at 10.262 states/eV/cell. For the raw formation energy, the calculation gives -1.14 eV per atom. The value obtained for the total energy is -4.34 eV per atom.

a = 8.817 Å, b = 8.817 Å, c = 8.817 Å
α = 105.82°, β = 102.16°, γ = 121.12°
Fractional coordinates of all 10 atoms:
Pa 0.531 0.032 0.000
Pa 0.032 0.532 0.000
I 0.032 0.256 0.724
I 0.032 0.808 0.276
I 0.532 0.756 0.724
I 0.983 0.281 0.202
I 0.532 0.308 0.276
I 0.079 0.781 0.798
Cl 0.433 0.782 0.151
Cl 0.631 0.282 0.849

***

Which of these has the lowest raw formation energy?
Rb2PaICl6

***

raw formation energy of number 2 (PaI2Cl)?
-1.12 eV per atom

***

What is the raw formation energy in the fourth record?
-1.35 eV per atom